A plane-wave DFT calculation with meta-GGA SCAN was carried out for KCd2Au at its PBEsol-relaxed geometry.

Summary:
DFT formation energy in eV per atom: -0.2665
Spin magnetization in μB/f.u.: 0.00
Space-group type: Cm

Cell: 4.8117 4.8117 6.5000 Å, 111.41 90.00 120.00°
Fractional positions:
Cd: 0.9862 0.9725 0.9583
K: 0.5032 0.0064 0.5097
Au: 0.3197 0.6394 0.9587
Cd: 0.6908 0.3817 0.0733